No. 1
Computed, not measured: a geometry-optimized KAlAu2 structure at the PBE level of DFT. Values from VASP.

Results
As for the crystal system: trigonal. As for the excess energy over the best structure of this formula in the dataset: 0.0399 eV per atom.

Quantum ESPRESSO input file:
```
&SYSTEM
  ibrav = 0, nat = 4, ntyp = 3
/
ATOMIC_SPECIES
K 39.10 K.upf
Al 26.98 Al.upf
Au 196.97 Au.upf
ATOMIC_POSITIONS angstrom
K 0.000 0.000 0.000
Al 0.000 0.000 9.041
Au 0.000 0.000 3.447
Au 0.000 0.000 14.635
CELL_PARAMETERS angstrom
2.286 1.320 6.027
-2.286 1.320 6.027
0.000 -2.640 6.027
```

No. 2
Computed, not measured: a geometry-optimized KAlAu2 structure at the PBE level of DFT. Values from VASP.

Results
As for the crystal system: orthorhombic. As for the excess energy over the best structure of this formula in the dataset: 0.1508 eV per atom.

Quantum ESPRESSO input file:
```
&SYSTEM
  ibrav = 0, nat = 4, ntyp = 3
/
ATOMIC_SPECIES
K 39.10 K.upf
Al 26.98 Al.upf
Au 196.97 Au.upf
ATOMIC_POSITIONS angstrom
K 0.000 0.000 0.000
Al 0.000 2.218 4.331
Au 1.432 0.000 4.646
Au 1.432 2.218 2.084
CELL_PARAMETERS angstrom
2.865 0.000 0.000
0.000 4.435 0.000
0.000 0.000 7.741
```

No. 3
Computed, not measured: a geometry-optimized KAlAu2 structure at the PBE level of DFT. Values from VASP.

Results
As for the crystal system: orthorhombic. As for the excess energy over the best structure of this formula in the dataset: 0.0000 eV per atom.

Quantum ESPRESSO input file:
```
&SYSTEM
  ibrav = 0, nat = 16, ntyp = 3
/
ATOMIC_SPECIES
K 39.10 K.upf
Al 26.98 Al.upf
Au 196.97 Au.upf
ATOMIC_POSITIONS angstrom
K 1.024 1.135 1.311
K 2.930 3.405 6.913
K 4.979 1.135 4.291
K 6.885 3.405 9.893
Al 0.123 3.405 4.358
Al 3.831 1.135 9.960
Al 4.077 3.405 1.244
Al 7.786 1.135 6.846
Au 1.313 1.135 4.712
Au 1.400 1.135 8.900
Au 2.554 3.405 3.297
Au 2.642 3.405 10.314
Au 5.267 1.135 0.890
Au 5.355 1.135 7.907
Au 6.508 3.405 2.305
Au 6.596 3.405 6.492
CELL_PARAMETERS angstrom
7.909 0.000 0.000
0.000 4.540 0.000
0.000 0.000 11.204
```

No. 4
Computed, not measured: a geometry-optimized K4Al2Au5 structure at the PBE level of DFT. Values from VASP.

Results
As for the crystal system: orthorhombic.

Quantum ESPRESSO input file:
```
&SYSTEM
  ibrav = 0, nat = 22, ntyp = 3
/
ATOMIC_SPECIES
K 39.10 K.upf
Al 26.98 Al.upf
Au 196.97 Au.upf
ATOMIC_POSITIONS angstrom
K 6.034 1.588 0.000
K 1.369 4.498 0.000
K 1.369 -4.498 2.790
K 1.761 12.780 0.000
K 2.511 1.588 2.790
K 2.903 18.866 0.000
K 2.903 9.870 2.790
K -1.761 12.780 2.790
Al 4.273 -6.688 1.395
Al 4.273 6.688 1.395
Al 0.000 7.680 1.395
Al 0.000 21.056 1.395
Au 4.567 4.442 0.000
Au 2.381 -7.748 2.790
Au 0.000 0.000 1.395
Au 2.381 7.748 0.000
Au 0.294 9.926 0.000
Au 3.978 4.442 2.790
Au 1.892 6.620 2.790
Au 0.000 0.000 4.185
Au 1.892 22.116 0.000
Au -0.294 9.926 2.790
CELL_PARAMETERS angstrom
-4.273 14.368 2.790
4.273 -14.368 2.790
4.273 14.368 -2.790
```

Number 1: ΔE_f -1.39 eV/f.u., energy -3.20 eV/atom. Number 2: ΔE_f -0.95 eV/f.u., energy -3.09 eV/atom. Number 3: ΔE_f -1.55 eV/f.u., energy -3.24 eV/atom. Number 4: ΔE_f -3.27 eV/f.u., energy -2.87 eV/atom.